A plane-wave DFT calculation with PBE-GGA was carried out for crystalline BaNd2IrO8 at its relaxed geometry.

Properties
Space group   P-1 (2)
Calculated volume   162.4 Å³/cell
E_form (uncorrected)   -2.070 eV per atom

POSCAR file:
```
BaNd2IrO8
1.0
4.329 0.000 0.000
-0.001 5.423 0.000
-2.089 -0.004 6.917
Ba Nd Ir O
1 2 1 8
direct
0.000 0.000 0.000 Ba
0.335 0.499 0.698 Nd
0.665 0.501 0.302 Nd
0.500 0.000 0.500 Ir
0.172 0.500 0.000 O
0.204 0.269 0.386 O
0.205 0.730 0.387 O
0.387 0.002 0.744 O
0.613 0.998 0.256 O
0.795 0.270 0.613 O
0.796 0.731 0.614 O
0.828 0.500 0.000 O
```